(1)
Here is a geometry-optimized TcMo2Os3 structure from Alexandria. Energies are from PBE-GGA.

Unit cell a=4.8584 b=5.5966 c=7.7375 alpha=111.69 beta=108.65 gamma=88.63
Fractional coordinates of all 12 atoms:
Mo1 0.6480 0.6487 0.2972
Os1 0.8184 0.5675 0.6343
Os2 0.2458 0.2672 0.0003
Tc1 0.7677 0.2282 0.9997
Os3 0.1810 0.9323 0.3659
Os4 0.1816 0.4325 0.3657
Os5 0.8190 0.0677 0.6341
Tc2 0.2323 0.7718 0.0003
Mo2 0.6488 0.1494 0.2985
Mo3 0.3512 0.8506 0.7015
Mo4 0.3520 0.3513 0.7028
Os6 0.7542 0.7328 0.9997

Calculated values
* formation enthalpy at 0 K: 248.5 meV/atom

=====

(2)
Here is a geometry-optimized TcMoOs2 structure from Alexandria. Energies are from PBE-GGA.

Unit cell a=9.2231 b=9.2231 c=9.2231 alpha=17.09 beta=17.09 gamma=17.09
Fractional coordinates of all 4 atoms:
Os1 0.9988 0.9988 0.9988
Os2 0.5012 0.5012 0.5012
Tc1 0.2500 0.2500 0.2500
Mo1 0.7500 0.7500 0.7500

Calculated values
* offset from the most stable computed form: 5.5 kJ/mol of atoms
* formation enthalpy at 0 K: 97.7 meV/atom

=====

(3)
Here is a geometry-optimized TcMoOs2 structure from Alexandria. Energies are from PBE-GGA.

Unit cell a=4.7703 b=4.7703 c=2.7531 alpha=90.00 beta=90.00 gamma=109.39
Fractional coordinates of all 4 atoms:
Mo1 0.0000 0.5000 0.5000
Os1 0.5000 0.5000 0.0000
Os2 0.0000 0.0000 0.0000
Tc1 0.5000 0.0000 0.5000

Calculated values
* offset from the most stable computed form: 1.2 kJ/mol of atoms
* formation enthalpy at 0 K: 53.0 meV/atom

=====

What did the third record say?
Here is a geometry-optimized TcMoOs2 structure from Alexandria. Energies are from PBE-GGA.

Unit cell a=4.7703 b=4.7703 c=2.7531 alpha=90.00 beta=90.00 gamma=109.39
Fractional coordinates of all 4 atoms:
Mo1 0.0000 0.5000 0.5000
Os1 0.5000 0.5000 0.0000
Os2 0.0000 0.0000 0.0000
Tc1 0.5000 0.0000 0.5000

Calculated values
* offset from the most stable computed form: 1.2 kJ/mol of atoms
* formation enthalpy at 0 K: 53.0 meV/atom

=====

Which formula does entry 3 have? TcMoOs2

=====

Among the records above, which one has the lowest formation enthalpy at 0 K? number 3